CaPIr2 after structural relaxation, computed with PBE.

Geometry as extended XYZ:
```
16
Lattice="7.243 0.000 0.000 0.000 7.243 0.000 0.000 0.000 5.812" Properties=species:S:1:pos:R:3 pbc="T T T"
Ca 0.000 0.000 0.000
Ca 0.000 3.622 1.453
Ca 3.622 0.000 4.359
Ca 3.622 3.622 2.906
P 0.000 0.000 2.906
P 0.000 3.622 4.359
P 3.622 0.000 1.453
P 3.622 3.622 0.000
Ir 1.080 1.811 3.632
Ir 1.811 4.702 5.085
Ir 1.811 6.163 2.179
Ir 2.542 1.811 0.726
Ir 4.702 5.432 0.726
Ir 5.432 1.080 2.179
Ir 5.432 2.542 5.085
Ir 6.163 5.432 3.632
```

## Properties
ΔH_f (0 K) in eV per atom: -0.344
SG: No. 122

CaPIr2 after structural relaxation, computed with PBE.

Geometry as extended XYZ:
```
4
Lattice="4.576 0.000 0.000 0.000 3.471 0.000 -0.007 0.000 5.436" Properties=species:S:1:pos:R:3 pbc="T T T"
Ca 0.000 0.000 0.000
P 2.284 0.000 2.718
Ir 2.287 1.736 1.284
Ir 2.281 1.736 4.152
```

## Properties
ΔH_f (0 K) in eV per atom: -0.456
SG: No. 10

CaP2Ir after structural relaxation, computed with PBE.

Geometry as extended XYZ:
```
4
Lattice="2.985 0.000 0.000 0.000 2.985 0.000 0.000 0.000 8.529" Properties=species:S:1:pos:R:3 pbc="T T T"
Ca 0.000 0.000 0.000
P 0.000 0.000 3.573
P 1.492 1.492 6.488
Ir 1.492 1.492 2.394
```

## Properties
ΔH_f (0 K) in eV per atom: -0.146
SG: No. 99

CaPaP2Ir4 after structural relaxation, computed with PBE.

Geometry as extended XYZ:
```
8
Lattice="4.042 0.000 0.000 0.000 4.042 0.000 0.000 0.000 9.441" Properties=species:S:1:pos:R:3 pbc="T T T"
Ca 0.000 0.000 0.000
Pa 0.000 0.000 4.721
P 2.021 2.021 1.538
P 2.021 2.021 7.904
Ir 0.000 2.021 2.680
Ir 0.000 2.021 6.762
Ir 2.021 0.000 2.680
Ir 2.021 0.000 6.762
```

## Properties
ΔH_f (0 K) in eV per atom: -0.782
SG: No. 123

CaPIr2Pt after structural relaxation, computed with PBE.

Geometry as extended XYZ:
```
5
Lattice="4.743 0.000 0.000 0.000 4.743 0.000 0.000 0.000 4.806" Properties=species:S:1:pos:R:3 pbc="T T T"
Ca 0.000 0.000 0.000
P 0.000 0.000 2.403
Ir 0.000 2.371 0.000
Ir 2.371 0.000 0.000
Pt 2.371 2.371 2.403
```

## Properties
ΔH_f (0 K) in eV per atom: 2.242
SG: No. 123

Ca2P4IrRh3 after structural relaxation, computed with PBE.

Geometry as extended XYZ:
```
10
Lattice="4.108 0.000 0.000 0.000 4.108 0.000 0.000 0.000 9.680" Properties=species:S:1:pos:R:3 pbc="T T T"
Ca 0.000 2.054 2.319
Ca 2.054 0.000 7.360
P 0.000 0.000 0.000
P 0.000 2.054 6.158
P 2.054 0.000 3.521
P 2.054 2.054 0.000
Ir 0.000 0.000 4.840
Rh 0.000 2.054 8.527
Rh 2.054 0.000 1.153
Rh 2.054 2.054 4.840
```

## Properties
ΔH_f (0 K) in eV per atom: -0.891
SG: No. 115

CaP2IrRh after structural relaxation, computed with PBE.

Geometry as extended XYZ:
```
10
Lattice="5.823 -2.003 0.000 5.823 2.003 0.000 -4.472 0.000 7.679" Properties=species:S:1:pos:R:3 pbc="T T T"
Ca 1.585 0.000 1.182
Ca 5.589 0.000 6.497
P -0.862 0.000 4.266
P 4.663 0.000 1.060
P 2.511 0.000 6.620
P 8.036 0.000 3.414
Ir 1.451 0.000 4.480
Ir 5.723 0.000 3.199
Rh -2.761 0.000 5.622
Rh 9.936 0.000 2.057
```

## Properties
ΔH_f (0 K) in eV per atom: -0.862
SG: No. 12

CaP2IrRu after structural relaxation, computed with PBE.

Geometry as extended XYZ:
```
10
Lattice="4.051 0.000 0.000 0.000 4.051 0.000 0.000 0.000 9.868" Properties=species:S:1:pos:R:3 pbc="T T T"
Ca 0.000 0.000 0.000
Ca 2.025 2.025 4.934
P 0.000 0.000 3.704
P 0.000 0.000 6.164
P 2.025 2.025 1.230
P 2.025 2.025 8.638
Ir 0.000 2.025 2.467
Ir 2.025 0.000 7.401
Ru 0.000 2.025 7.401
Ru 2.025 0.000 2.467
```

## Properties
ΔH_f (0 K) in eV per atom: -0.868
SG: No. 119

CaP2IrS after structural relaxation, computed with PBE.

Geometry as extended XYZ:
```
5
Lattice="5.067 0.000 0.000 0.000 5.067 0.000 0.000 0.000 4.915" Properties=species:S:1:pos:R:3 pbc="T T T"
Ca 0.000 0.000 0.000
P 0.000 2.534 0.000
P 2.534 0.000 0.000
Ir 2.534 2.534 2.458
S 0.000 0.000 2.458
```

## Properties
Raw formation energy in meV per atom: 1685
SG: No. 123

CaP2IrS after structural relaxation, computed with PBE.

Geometry as extended XYZ:
```
5
Lattice="4.489 0.000 0.000 0.000 4.489 0.000 0.000 0.000 5.448" Properties=species:S:1:pos:R:3 pbc="T T T"
Ca 0.000 0.000 0.000
P 0.000 2.245 2.724
P 2.245 0.000 2.724
Ir 2.245 2.245 2.724
S 2.245 2.245 0.000
```

## Properties
Raw formation energy in meV per atom: -196
SG: No. 123

CaP2IrS8 after structural relaxation, computed with PBE.

Geometry as extended XYZ:
```
12
Lattice="5.792 0.000 0.000 -2.896 5.016 0.000 0.000 0.000 8.454" Properties=species:S:1:pos:R:3 pbc="T T T"
Ca 0.000 0.000 0.000
P 0.000 3.344 6.214
P 2.896 1.672 2.241
Ir 0.000 0.000 4.227
S -1.914 3.458 2.729
S 0.858 1.629 2.729
S 1.840 0.071 5.725
S 0.000 3.344 8.237
S 2.896 1.672 0.217
S 1.056 4.944 2.729
S 2.038 3.387 5.725
S 4.810 1.558 5.725
```

## Properties
Raw formation energy in meV per atom: -423
SG: No. 147

CaSbPIr2 after structural relaxation, computed with PBE.

Geometry as extended XYZ:
```
5
Lattice="4.851 0.000 0.000 0.000 4.851 0.000 0.000 0.000 5.410" Properties=species:S:1:pos:R:3 pbc="T T T"
Ca 0.000 0.000 0.000
Sb 0.000 0.000 2.705
P 2.426 2.426 2.705
Ir 0.000 2.426 0.000
Ir 2.426 0.000 0.000
```

## Properties
Raw formation energy in meV per atom: 2117
SG: No. 123

CaScPIr2 after structural relaxation, computed with PBE.

Geometry as extended XYZ:
```
5
Lattice="4.548 0.000 0.000 0.000 4.548 0.000 0.000 0.000 4.756" Properties=species:S:1:pos:R:3 pbc="T T T"
Ca 0.000 0.000 0.000
Sc 2.274 2.274 0.000
P 2.274 2.274 2.378
Ir 0.000 2.274 2.378
Ir 2.274 0.000 2.378
```

## Properties
ΔH_f (0 K) in eV per atom: -0.255
SG: No. 123

CaTcP2Ir after structural relaxation, computed with PBE.

Geometry as extended XYZ:
```
10
Lattice="4.109 0.000 0.000 0.000 4.109 0.000 0.000 0.000 9.897" Properties=species:S:1:pos:R:3 pbc="T T T"
Ca 0.000 0.000 0.000
Ca 2.055 2.055 4.949
Tc 0.000 2.055 2.474
Tc 2.055 0.000 7.423
P 0.000 0.000 3.647
P 0.000 0.000 6.250
P 2.055 2.055 1.302
P 2.055 2.055 8.596
Ir 0.000 2.055 7.423
Ir 2.055 0.000 2.474
```

## Properties
ΔH_f (0 K) in eV per atom: -0.856
SG: No. 119

Ca2ZnP3Ir4 after structural relaxation, computed with PBE.

Geometry as extended XYZ:
```
10
Lattice="4.098 0.000 0.000 0.000 4.098 0.000 0.000 0.000 9.916" Properties=species:S:1:pos:R:3 pbc="T T T"
Ca 0.000 2.049 2.432
Ca 2.049 0.000 7.484
Zn 2.049 2.049 0.000
P 0.000 0.000 0.000
P 0.000 2.049 6.288
P 2.049 0.000 3.628
Ir 0.000 0.000 4.958
Ir 0.000 2.049 8.551
Ir 2.049 0.000 1.365
Ir 2.049 2.049 4.958
```

## Properties
ΔH_f (0 K) in eV per atom: -0.739
SG: No. 115

CaPaIr after structural relaxation, computed with PBE.

Geometry as extended XYZ:
```
6
Lattice="3.486 0.000 0.000 0.000 3.486 0.000 0.000 0.000 12.946" Properties=species:S:1:pos:R:3 pbc="T T T"
Ca 0.000 0.000 0.000
Ca 1.743 1.743 6.473
Pa 0.000 0.000 3.412
Pa 1.743 1.743 9.885
Ir 0.000 0.000 8.552
Ir 1.743 1.743 2.078
```

## Properties
ΔH_f (0 K) in eV per atom: -0.331
SG: No. 107

CaPaIr after structural relaxation, computed with PBE.

Geometry as extended XYZ:
```
6
Lattice="5.917 0.000 0.000 0.000 4.588 0.000 -1.489 0.000 5.847" Properties=species:S:1:pos:R:3 pbc="T T T"
Ca 0.599 1.147 2.514
Ca 3.829 3.441 3.334
Pa 0.590 3.441 5.842
Pa 3.837 1.147 0.005
Ir -0.741 1.147 5.250
Ir 5.169 3.441 0.597
```

## Properties
ΔH_f (0 K) in eV per atom: -0.387
SG: No. 11

Ca5PaIr4 after structural relaxation, computed with PBE.

Geometry as extended XYZ:
```
10
Lattice="7.901 -2.301 0.000 7.901 2.301 0.000 -0.767 0.000 7.116" Properties=species:S:1:pos:R:3 pbc="T T T"
Ca 0.000 0.000 0.000
Ca 4.833 0.000 3.003
Ca 4.716 0.000 6.585
Ca 10.318 0.000 0.532
Ca 10.201 0.000 4.113
Pa -0.384 0.000 3.558
Ir 1.892 0.000 2.268
Ir 7.326 0.000 5.086
Ir 7.708 0.000 2.030
Ir 13.142 0.000 4.848
```

## Properties
ΔH_f (0 K) in eV per atom: -0.437
SG: No. 12

Ca3Pa2Ir4 after structural relaxation, computed with PBE.

Geometry as extended XYZ:
```
9
Lattice="5.977 -1.972 0.000 5.977 1.972 0.000 -1.894 0.000 9.438" Properties=species:S:1:pos:R:3 pbc="T T T"
Ca 0.000 0.000 0.000
Ca 3.338 0.000 5.858
Ca 6.721 0.000 3.581
Pa 3.431 0.000 2.060
Pa 6.628 0.000 7.378
Ir -0.127 0.000 5.754
Ir 1.892 0.000 8.691
Ir 8.168 0.000 0.748
Ir 10.186 0.000 3.684
```

## Properties
ΔH_f (0 K) in eV per atom: -0.557
SG: No. 12

CaPm2Pa2Ir5 after structural relaxation, computed with PBE.

Geometry as extended XYZ:
```
20
Lattice="11.003 0.000 0.000 0.000 11.003 0.000 0.000 0.000 3.635" Properties=species:S:1:pos:R:3 pbc="T T T"
Ca 0.000 0.000 0.000
Ca 5.502 5.502 0.000
Pm 1.879 3.623 0.000
Pm 3.623 9.124 0.000
Pm 7.381 1.879 0.000
Pm 9.124 7.381 0.000
Pa 1.518 7.019 0.000
Pa 3.984 1.518 0.000
Pa 7.019 9.486 0.000
Pa 9.486 3.984 0.000
Ir 0.000 5.502 1.817
Ir 0.575 8.773 1.817
Ir 2.230 0.575 1.817
Ir 3.271 6.077 1.817
Ir 4.926 3.271 1.817
Ir 5.502 0.000 1.817
Ir 6.077 7.732 1.817
Ir 7.732 4.926 1.817
Ir 8.773 10.428 1.817
Ir 10.428 2.230 1.817
```

## Properties
ΔH_f (0 K) in eV per atom: -0.474
SG: No. 127

Number 1: DFT total energy -6.63 eV per atom, spin magnetization 0.00 μB per formula unit. Number 2: DFT total energy -6.74 eV per atom, spin magnetization 0.00 μB per formula unit. Number 3: DFT total energy -5.57 eV per atom, spin magnetization 0.00 μB per formula unit. Number 4: DFT total energy -8.00 eV per atom, spin magnetization 0.00 μB per formula unit. Number 5: DFT total energy -3.99 eV per atom, spin magnetization 1.89 μB per formula unit. Number 6: DFT total energy -6.55 eV per atom, spin magnetization 0.00 μB per formula unit. Number 7: DFT total energy -6.67 eV per atom, spin magnetization 0.00 μB per formula unit. Number 8: DFT total energy -7.06 eV per atom, spin magnetization 0.00 μB per formula unit. Number 9: DFT total energy -3.48 eV per atom, spin magnetization 1.54 μB per formula unit. Number 10: DFT total energy -5.36 eV per atom, spin magnetization 0.00 μB per formula unit. Number 11: DFT total energy -4.98 eV per atom, spin magnetization 0.00 μB per formula unit. Number 12: DFT total energy -3.73 eV per atom, spin magnetization 1.30 μB per formula unit. Number 13: DFT total energy -6.55 eV per atom, spin magnetization 0.02 μB per formula unit. Number 14: DFT total energy -7.27 eV per atom, spin magnetization 0.00 μB per formula unit. Number 15: DFT total energy -6.43 eV per atom, spin magnetization 0.00 μB per formula unit. Number 16: DFT total energy -7.12 eV per atom, spin magnetization 1.10 μB per formula unit. Number 17: DFT total energy -7.17 eV per atom, spin magnetization 0.00 μB per formula unit. Number 18: DFT total energy -5.93 eV per atom, spin magnetization 0.00 μB per formula unit. Number 19: DFT total energy -7.27 eV per atom, spin magnetization 0.00 μB per formula unit. Number 20: DFT total energy -7.95 eV per atom, spin magnetization 0.00 μB per formula unit.